The following is a GGA+U calculation of an optimized crystal structure of Tm3V5O12, from Alexandria.

Cell: 10.820 10.820 10.820 Å, 109.47 109.47 109.47°
Fractional positions:
Tm: 0.125 0.250 0.375
Tm: 0.125 0.375 0.750
Tm: 0.250 0.375 0.125
Tm: 0.250 0.875 0.625
Tm: 0.375 0.125 0.250
Tm: 0.375 0.750 0.125
Tm: 0.625 0.250 0.875
Tm: 0.625 0.875 0.750
Tm: 0.750 0.125 0.375
Tm: 0.750 0.625 0.875
Tm: 0.875 0.625 0.250
Tm: 0.875 0.750 0.625
V: 0.000 0.000 0.000
V: 0.000 0.000 0.500
V: 0.000 0.500 0.000
V: 0.000 0.500 0.500
V: 0.125 0.750 0.875
V: 0.125 0.875 0.250
V: 0.250 0.125 0.875
V: 0.250 0.625 0.375
V: 0.375 0.250 0.625
V: 0.375 0.625 0.750
V: 0.500 0.000 0.000
V: 0.500 0.000 0.500
V: 0.500 0.500 0.000
V: 0.500 0.500 0.500
V: 0.625 0.375 0.250
V: 0.625 0.750 0.375
V: 0.750 0.375 0.625
V: 0.750 0.875 0.125
V: 0.875 0.125 0.750
V: 0.875 0.250 0.125
O: 0.035 0.214 0.128
O: 0.035 0.321 0.907
O: 0.085 0.714 0.679
O: 0.085 0.872 0.407
O: 0.093 0.628 0.415
O: 0.093 0.965 0.679
O: 0.128 0.035 0.214
O: 0.128 0.593 0.915
O: 0.179 0.214 0.585
O: 0.179 0.465 0.593
O: 0.214 0.128 0.035
O: 0.214 0.585 0.179
O: 0.286 0.321 0.915
O: 0.286 0.465 0.372
O: 0.321 0.907 0.035
O: 0.321 0.915 0.286
O: 0.372 0.286 0.465
O: 0.372 0.585 0.907
O: 0.407 0.085 0.872
O: 0.407 0.821 0.535
O: 0.415 0.093 0.628
O: 0.415 0.821 0.786
O: 0.465 0.372 0.286
O: 0.465 0.593 0.179
O: 0.535 0.407 0.821
O: 0.535 0.628 0.714
O: 0.585 0.179 0.214
O: 0.585 0.907 0.372
O: 0.593 0.179 0.465
O: 0.593 0.915 0.128
O: 0.628 0.415 0.093
O: 0.628 0.714 0.535
O: 0.679 0.085 0.714
O: 0.679 0.093 0.965
O: 0.714 0.535 0.628
O: 0.714 0.679 0.085
O: 0.786 0.415 0.821
O: 0.786 0.872 0.965
O: 0.821 0.535 0.407
O: 0.821 0.786 0.415
O: 0.872 0.407 0.085
O: 0.872 0.965 0.786
O: 0.907 0.035 0.321
O: 0.907 0.372 0.585
O: 0.915 0.128 0.593
O: 0.915 0.286 0.321
O: 0.965 0.679 0.093
O: 0.965 0.786 0.872

**Calculated volume**: 12.2 A^3/atom
**SG**: Ia-3d
**E**: -645.457 eV/cell
**Fermi-level density of states**: 0.3130 states/eV per atom